Here is a geometry-optimized Sr2Li12AlCd3 structure from Alexandria. Energies are from PBE-GGA.

Cell and atoms, written as POSCAR:
```
Sr2Li12AlCd3
1.0
7.1464 -1.7424 -1.2358
2.0142 7.0746 -1.2358
2.0142 1.1724 7.0854
Al Li Sr Cd
1 12 2 3
direct
0.0000 0.0000 0.0000
0.8453 0.4245 0.4245
0.5755 0.5755 0.1547
0.5755 0.1547 0.5755
0.7415 0.1896 0.1896
0.1547 0.5755 0.5755
0.1896 0.7415 0.1896
0.4245 0.4245 0.8453
0.8104 0.8104 0.2585
0.8104 0.2585 0.8104
0.1896 0.1896 0.7415
0.4245 0.8453 0.4245
0.2585 0.8104 0.8104
0.7394 0.7394 0.7394
0.2606 0.2606 0.2606
0.5000 0.0000 0.0000
0.0000 0.0000 0.5000
0.0000 0.5000 0.0000
```

Results
Crystal system ... trigonal
Calculated formation energy ... -20 meV/atom
Spin magnetization ... 0.00 μB per formula unit